A plane-wave DFT calculation with PBE was carried out for an optimized crystal structure of HgIrRu2.

Unit cell a=2.8007 b=2.8007 c=27.6905 alpha=90.00 beta=90.00 gamma=120.00
Space group R-3m (No. 166, hexagonal axes)
One atom of each set of equivalent atoms:
Hg 0.0000 0.0000 0.0000
Ir 0.0000 0.0000 0.5000
Ru 0.0000 0.0000 0.2438

Output
energy of formation: 8.31 kcal/mol of atoms



A plane-wave DFT calculation with PBE was carried out for an optimized crystal structure of SrLaTm4S8.

Unit cell a=8.0756 b=8.0756 c=20.3773 alpha=90.00 beta=90.00 gamma=120.00
Space group R3m (No. 160, hexagonal axes)
One atom of each set of equivalent atoms:
Sr 0.0000 0.0000 0.0000
La 0.0000 0.0000 0.3713
Tm 0.0000 0.0000 0.7472
Tm 0.0045 0.5022 0.8733
S 0.0000 0.0000 0.1379
S 0.0000 0.0000 0.6151
S 0.0098 0.5049 0.1300
S 0.1822 0.3644 0.9457

Output
formation energy from raw total energies: -1.99 eV per atom



Please write out number 2 again, unchanged.
A plane-wave DFT calculation with PBE was carried out for an optimized crystal structure of SrLaTm4S8.

Unit cell a=8.0756 b=8.0756 c=20.3773 alpha=90.00 beta=90.00 gamma=120.00
Space group R3m (No. 160, hexagonal axes)
One atom of each set of equivalent atoms:
Sr 0.0000 0.0000 0.0000
La 0.0000 0.0000 0.3713
Tm 0.0000 0.0000 0.7472
Tm 0.0045 0.5022 0.8733
S 0.0000 0.0000 0.1379
S 0.0000 0.0000 0.6151
S 0.0098 0.5049 0.1300
S 0.1822 0.3644 0.9457

Output
formation energy from raw total energies: -1.99 eV per atom